# As2BrNF

A PBEsol-optimized structure of As2BrNF (SCAN, Alexandria).

Cell: 4.2711 4.2711 4.5450 Å, 90.00 90.00 90.00°
Closest atoms and distances in Å follow each position.
Positions (direct):
As 0.0000 0.5000 0.0000  2 N 2.14
As 0.5000 0.0000 0.0000  2 N 2.14
N 0.0000 0.0000 0.0000  4 As 2.14, 2 Br 2.27
Br 0.0000 0.0000 0.5000  2 N 2.27
F 0.5000 0.5000 0.5000  4 Br 3.02, 8 As 3.12

Results
The value obtained for the uncorrected formation energy is 724.7 meV per atom. The total energy is -13.810 eV per atom.

***

# Ca3MgCu2

A PBEsol-optimized structure of Ca3MgCu2 (SCAN, Alexandria).

Cell: 6.0127 6.9655 6.9655 Å, 89.88 90.00 90.00°
Closest atoms and distances in Å follow each position.
Positions (direct):
Ca 0.7500 0.9166 0.0834  4 Cu 3.10, 2 Ca 3.43, 1 Mg 3.44
Ca 0.2500 0.0834 0.9166  4 Cu 3.10, 2 Ca 3.43, 1 Mg 3.44
Ca 0.7500 0.4238 0.9244  4 Cu 2.95-3.01
Ca 0.2500 0.5762 0.0756  4 Cu 2.95-3.01
Ca 0.7500 0.0756 0.5762  4 Cu 2.95-3.01
Ca 0.2500 0.9244 0.4238  4 Cu 2.95-3.01
Cu 0.0000 0.7376 0.7376  2 Mg 2.86, 6 Ca 2.95-3.10, 2 Cu 3.01
Cu 0.5000 0.2624 0.2624  2 Mg 2.86, 6 Ca 2.95-3.10, 2 Cu 3.01
Cu 0.0000 0.2624 0.2624  2 Mg 2.86, 6 Ca 2.95-3.10, 2 Cu 3.01
Cu 0.5000 0.7376 0.7376  2 Mg 2.86, 6 Ca 2.95-3.10, 2 Cu 3.01
Mg 0.7500 0.5673 0.4327  4 Cu 2.86
Mg 0.2500 0.4327 0.5673  4 Cu 2.86

Results
The total energy is -10.750 eV per atom. The formation energy is -0.02 eV/atom.

***

# RbPd3N

A PBEsol-optimized structure of RbPd3N (SCAN, Alexandria).

Cell: 4.2988 4.2988 4.2988 Å, 90.00 90.00 90.00°
Closest atoms and distances in Å follow each position.
Positions (direct):
Rb 0.5000 0.5000 0.5000  12 Pd 3.04
Pd 0.0000 0.5000 0.0000  2 N 2.15
Pd 0.0000 0.0000 0.5000  2 N 2.15
Pd 0.5000 0.0000 0.0000  2 N 2.15
N 0.0000 0.0000 0.0000  6 Pd 2.15

Results
The value obtained for the uncorrected formation energy is 389.6 meV per atom. The total energy is -25.281 eV per atom. For the energy relative to the lowest polymorph listed for this composition, the calculation gives 0 meV per atom.

***

# Li2TiAs

A PBEsol-optimized structure of Li2TiAs (SCAN, Alexandria).

Cell: 3.6056 3.6056 10.3274 Å, 100.05 100.05 90.00°
Closest atoms and distances in Å follow each position.
Positions (direct):
As 0.2500 0.7500 0.5000  4 Ti 2.55, 4 Li 2.78
As 0.0000 0.0000 0.0000  4 Ti 2.55, 4 Li 2.78
Li 0.8964 0.8750 0.2500  4 Li 2.44-2.66
Li 0.3536 0.3750 0.2500  4 Li 2.44-2.66
Li 0.1250 0.6464 0.7500  4 Li 2.44-2.66
Li 0.6250 0.1036 0.7500  4 Li 2.44-2.66
Ti 0.7500 0.2500 0.5000  4 As 2.55, 4 Li 2.83
Ti 0.5000 0.5000 0.0000  4 As 2.55, 4 Li 2.83

Results
The total energy is -10.548 eV per atom. The formation energy is -0.30 eV/atom.

***

# AlCuSe

A PBEsol-optimized structure of AlCuSe (SCAN, Alexandria).

Cell: 3.4145 3.4145 4.7446 Å, 111.09 111.09 90.00°
Closest atoms and distances in Å follow each position.
Positions (direct):
Cu 0.3461 0.3461 0.6921  1 Se 2.53, 4 Al 2.71
Se 0.6562 0.6562 0.3125  1 Cu 2.53, 5 Al 2.74-2.79
Al 0.9977 0.9977 0.9954  5 Cu 2.71-2.85, 5 Se 2.74-2.79

Results
The value obtained for the uncorrected formation energy is 102.2 meV per atom. The total energy is -14.241 eV per atom. For the energy relative to the lowest polymorph listed for this composition, the calculation gives 0 meV per atom.

***

# Sn2BiSeN

A PBEsol-optimized structure of Sn2BiSeN (SCAN, Alexandria).

Cell: 4.3312 4.9545 4.9545 Å, 90.00 90.00 90.00°
Closest atoms and distances in Å follow each position.
Positions (direct):
N 0.0000 0.0000 0.0000  2 Se 2.17
Bi 0.5000 0.5000 0.5000  8 Sn 3.29, 4 Se 3.50
Se 0.5000 0.0000 0.0000  2 N 2.17
Sn 0.0000 0.0000 0.5000  2 N 2.48
Sn 0.0000 0.5000 0.0000  2 N 2.48

Results
The value obtained for the uncorrected formation energy is 529.7 meV per atom. The total energy is -35.429 eV per atom.

***

# NaNbTc2Br

A PBEsol-optimized structure of NaNbTc2Br (SCAN, Alexandria).

Cell: 4.5629 4.5629 4.7361 Å, 90.00 90.00 90.00°
Closest atoms and distances in Å follow each position.
Positions (direct):
Na 0.5000 0.5000 0.5000  4 Nb 3.23, 8 Tc 3.29
Nb 0.0000 0.0000 0.5000  2 Br 2.37
Tc 0.0000 0.5000 0.0000  2 Br 2.28
Tc 0.5000 0.0000 0.0000  2 Br 2.28
Br 0.0000 0.0000 0.0000  4 Tc 2.28, 2 Nb 2.37

Results
The value obtained for the uncorrected formation energy is 1467.8 meV per atom. The total energy is -23.917 eV per atom.

***

# BaScFe2

A PBEsol-optimized structure of BaScFe2 (SCAN, Alexandria).

Cell: 3.5273 3.5228 6.8721 Å, 90.00 89.99 90.00°
Closest atoms and distances in Å follow each position.
Positions (direct):
Ba 0.5000 0.5000 0.0000  8 Fe 3.41, 2 Sc 3.44, 4 Ba 3.52-3.53
Fe 0.0000 0.0000 0.3390  1 Fe 2.21
Fe 0.0000 0.0000 0.6610  1 Fe 2.21
Sc 0.5000 0.5000 0.5000  8 Fe 2.73

Results
The total energy is -22.137 eV per atom. For the energy relative to the lowest polymorph listed for this composition, the calculation gives 22 meV per atom. The formation energy is 0.37 eV/atom.

***

# Sr2YMo

A PBEsol-optimized structure of Sr2YMo (SCAN, Alexandria).

Cell: 3.4906 3.4906 11.7028 Å, 81.42 81.42 60.00°
Closest atoms and distances in Å follow each position.
Positions (direct):
Mo 0.0000 0.0000 0.0000  6 Sr 3.14, 6 Mo 3.49
Sr 0.2636 0.2636 0.2092  3 Mo 3.14, 6 Sr 3.49
Sr 0.7364 0.7364 0.7908  3 Mo 3.14, 6 Sr 3.49
Y 0.5000 0.5000 0.5000  6 Y 3.49

Results
The total energy is -25.856 eV per atom. The formation energy is 0.96 eV/atom.

***

# CoReNi2

A PBEsol-optimized structure of CoReNi2 (SCAN, Alexandria).

Cell: 2.5535 2.5535 7.0773 Å, 90.00 90.00 90.00°
Closest atoms and distances in Å follow each position.
Positions (direct):
Co 0.5000 0.5000 0.5000  8 Ni 2.46, 4 Co 2.55
Ni 0.0000 0.0000 0.7368  4 Co 2.46, 4 Ni 2.55, 4 Re 2.59
Ni 0.0000 0.0000 0.2632  4 Co 2.46, 4 Ni 2.55, 4 Re 2.59
Re 0.5000 0.5000 0.0000  4 Re 2.55, 8 Ni 2.59

Results
The total energy is -30.128 eV per atom. For the energy relative to the lowest polymorph listed for this composition, the calculation gives 0 meV per atom. The formation energy is 0.06 eV/atom.

***

# MgHg2Pb

A PBEsol-optimized structure of MgHg2Pb (SCAN, Alexandria).

Cell: 3.5253 5.2307 5.2307 Å, 90.00 90.00 90.00°
Closest atoms and distances in Å follow each position.
Positions (direct):
Pb 0.5000 0.0000 0.0000  8 Hg 3.15, 2 Pb 3.53
Mg 0.5000 0.5000 0.5000  8 Hg 3.15, 2 Mg 3.53
Hg 0.0000 0.0000 0.5000  4 Pb 3.15, 4 Mg 3.15, 2 Hg 3.53
Hg 0.0000 0.5000 0.0000  4 Pb 3.15, 4 Mg 3.15, 2 Hg 3.53

Results
The total energy is -54.333 eV per atom. The formation energy is -0.06 eV/atom.

***

# LaCuNi2

A PBEsol-optimized structure of LaCuNi2 (SCAN, Alexandria).

Cell: 3.8496 3.8496 4.9482 Å, 112.89 112.89 90.00°
Closest atoms and distances in Å follow each position.
Positions (direct):
Cu 0.5000 0.5000 0.0000  8 Ni 2.72-2.82, 4 La 2.82
La 0.2500 0.7500 0.5000  8 Ni 2.72-2.82, 4 Cu 2.82
Ni 0.0000 0.0000 0.0000  4 Cu 2.72, 4 La 2.82, 4 Ni 2.82
Ni 0.7500 0.2500 0.5000  4 La 2.72, 4 Ni 2.82, 4 Cu 2.82

Results
The total energy is -22.599 eV per atom. The formation energy is 0.06 eV/atom.

***

# KCa2Ni

A PBEsol-optimized structure of KCa2Ni (SCAN, Alexandria).

Cell: 3.7631 6.2966 6.7946 Å, 117.60 106.08 90.00°
Closest atoms and distances in Å follow each position.
Positions (direct):
Ca 0.6712 0.6712 0.3423  2 Ni 2.72
Ca 0.3288 0.3288 0.6577  2 Ni 2.72
K 0.5000 0.0000 0.0000  4 Ni 3.67, 4 Ca 3.71, 2 K 3.76
Ni 0.0000 0.5000 0.0000  4 Ca 2.72

Results
The total energy is -10.679 eV per atom. For the energy relative to the lowest polymorph listed for this composition, the calculation gives 28 meV per atom. The formation energy is 0.28 eV/atom.